DFT (PBE+U) results for a relaxed CdFe4NiO8 crystal.

abc: 6.0738 6.0738 6.0737
angles: 60.30 60.30 60.30
Positions (direct):
O 0.8124 0.3894 0.3894
O 0.8741 0.4044 0.8741
O 0.3894 0.3894 0.8124
O 0.3894 0.8124 0.3894
O 0.8741 0.8741 0.4044
O 0.3827 0.3827 0.3827
O 0.8780 0.8780 0.8780
O 0.4044 0.8741 0.8741
Fe 0.0069 0.0069 0.0069
Fe 0.6209 0.1307 0.6209
Fe 0.6209 0.6209 0.1307
Fe 0.1307 0.6209 0.6209
Cd 0.2406 0.2406 0.2406
Ni 0.6253 0.6253 0.6253

Raw total energy, eV for the cell shown: -81.8
Total magnetization, μB/f.u.: 16.00